# NbGeRh3 (PBE-GGA, relaxed)
# - Formation enthalpy at 0 K: -0.454 eV/atom
# - Electronic total energy: -0.2867 hartree per atom
# - Energy relative to the lowest polymorph listed for this composition: 0.0 meV per atom
data_NbGeRh3
_chemical_formula_sum 'Nb4 Ge4 Rh12'
_cell_length_a 7.4515
_cell_length_b 5.1725
_cell_length_c 8.6127
_cell_angle_alpha 90.00
_cell_angle_beta 113.08
_cell_angle_gamma 90.00
_symmetry_space_group_name_H-M 'P 1 21/c 1'
_symmetry_Int_Tables_number 14
loop_
_symmetry_equiv_pos_as_xyz
'x,y,z'
'-x,-y,-z'
'-x,y+1/2,-z+1/2'
'x,-y+1/2,z+1/2'
loop_
_atom_site_label
_atom_site_type_symbol
_atom_site_fract_x
_atom_site_fract_y
_atom_site_fract_z
Nb1 Nb 0.2244 0.1584 0.0279
Ge1 Ge 0.3588 0.6777 0.8636
Rh1 Rh 0.0499 0.0599 0.2373
Rh2 Rh 0.1609 0.6571 0.0614
Rh3 Rh 0.4386 0.1580 0.8356



# NbGeRh2 (PBE-GGA, relaxed)
# - Formation enthalpy at 0 K: 0.251 eV/atom
# - Electronic total energy: -0.2608 hartree per atom
data_NbGeRh2
_chemical_formula_sum 'Nb4 Ge4 Rh8'
_cell_length_a 5.5323
_cell_length_b 5.5323
_cell_length_c 11.4974
_cell_angle_alpha 90.00
_cell_angle_beta 90.00
_cell_angle_gamma 90.00
_symmetry_space_group_name_H-M 'I -4 2 d'
_symmetry_Int_Tables_number 122
_symmetry_space_group_name_Hall 'I -4 2bw'
loop_
_atom_site_label
_atom_site_type_symbol
_atom_site_fract_x
_atom_site_fract_y
_atom_site_fract_z
Nb1 Nb 0.0000 0.0000 0.0000
Ge1 Ge 0.0000 0.0000 0.5000
Rh1 Rh 0.2347 0.2500 0.6250



# NbGe2Rh (PBE-GGA, relaxed)
# - Formation enthalpy at 0 K: -0.011 eV/atom
# - Electronic total energy: -0.2453 hartree per atom
data_NbGe2Rh
_chemical_formula_sum 'Nb3 Ge6 Rh3'
_cell_length_a 2.9586
_cell_length_b 2.9586
_cell_length_c 27.4983
_cell_angle_alpha 90.00
_cell_angle_beta 90.00
_cell_angle_gamma 120.00
_symmetry_space_group_name_H-M 'R -3 m'
_symmetry_Int_Tables_number 166
_symmetry_space_group_name_Hall '-R 3 2"'
loop_
_atom_site_label
_atom_site_type_symbol
_atom_site_fract_x
_atom_site_fract_y
_atom_site_fract_z
Nb1 Nb 0.0000 0.0000 0.0000
Ge1 Ge 0.0000 0.0000 0.0969
Rh1 Rh 0.0000 0.0000 0.5000



# NbGe2Rh (PBE-GGA, relaxed)
# - Formation enthalpy at 0 K: -0.204 eV/atom
# - Electronic total energy: -0.2524 hartree per atom
data_NbGe2Rh
_chemical_formula_sum 'Nb4 Ge8 Rh4'
_cell_length_a 6.3058
_cell_length_b 6.3058
_cell_length_c 6.3058
_cell_angle_alpha 90.00
_cell_angle_beta 90.00
_cell_angle_gamma 90.00
_symmetry_space_group_name_H-M 'F m -3 m'
_symmetry_Int_Tables_number 225
_symmetry_space_group_name_Hall '-F 4 2 3'
loop_
_atom_site_label
_atom_site_type_symbol
_atom_site_fract_x
_atom_site_fract_y
_atom_site_fract_z
Nb1 Nb 0.0000 0.0000 0.0000
Ge1 Ge 0.2500 0.2500 0.2500
Rh1 Rh 0.0000 0.0000 0.5000



# Nb3GeRh (PBE-GGA, relaxed)
# - Formation enthalpy at 0 K: 0.967 eV/atom
# - Electronic total energy: -0.2745 hartree per atom
data_Nb3GeRh
_chemical_formula_sum 'Nb3 Ge1 Rh1'
_cell_length_a 4.8090
_cell_length_b 4.8090
_cell_length_c 4.8090
_cell_angle_alpha 90.00
_cell_angle_beta 90.00
_cell_angle_gamma 90.00
_symmetry_space_group_name_H-M 'P m -3 m'
_symmetry_Int_Tables_number 221
_symmetry_space_group_name_Hall '-P 4 2 3'
loop_
_atom_site_label
_atom_site_type_symbol
_atom_site_fract_x
_atom_site_fract_y
_atom_site_fract_z
Nb1 Nb 0.0000 0.0000 0.5000
Ge1 Ge 0.5000 0.5000 0.5000
Rh1 Rh 0.0000 0.0000 0.0000



# Nb2GeRh6 (PBE-GGA, relaxed)
# - Formation enthalpy at 0 K: -0.221 eV/atom
# - Electronic total energy: -0.2893 hartree per atom
data_Nb2GeRh6
_chemical_formula_sum 'Nb4 Ge2 Rh12'
_cell_length_a 4.1091
_cell_length_b 6.0573
_cell_length_c 12.4966
_cell_angle_alpha 90.00
_cell_angle_beta 90.00
_cell_angle_gamma 90.00
_symmetry_space_group_name_H-M 'I m m m'
_symmetry_Int_Tables_number 71
_symmetry_space_group_name_Hall '-I 2 2'
loop_
_atom_site_label
_atom_site_type_symbol
_atom_site_fract_x
_atom_site_fract_y
_atom_site_fract_z
Nb1 Nb 0.0000 0.0000 0.1624
Ge1 Ge 0.0000 0.0000 0.5000
Rh1 Rh 0.0000 0.2407 0.3361
Rh2 Rh 0.0000 0.2617 0.0000



What is the formation enthalpy at 0 K in the fourth record?
-0.204 eV/atom



Number 3 is which compound?
NbGe2Rh